The following is a DFT calculation (PBE-GGA) of an optimized crystal structure of Rb2CoAuBr6.

```
Rb2CoAuBr6
1.0
0.000 5.283 5.283
5.283 0.000 5.283
5.283 5.283 0.000
Rb Co Au Br
2 1 1 6
Direct
0.250 0.250 0.250
0.750 0.750 0.750
0.000 0.000 0.000
0.500 0.500 0.500
0.239 0.239 0.761
0.239 0.761 0.239
0.239 0.761 0.761
0.761 0.239 0.239
0.761 0.239 0.761
0.761 0.761 0.239
```

## Properties
M_tot ... 1.77 μB per formula unit
Space group ... Fm-3m (225)



The following is a DFT calculation (PBE-GGA) of an optimized crystal structure of YTlCoIr.

```
YTlCoIr
1.0
0.000 3.372 3.372
3.372 0.000 3.372
3.372 3.372 0.000
Y Tl Co Ir
1 1 1 1
Direct
0.000 0.000 0.000
0.250 0.250 0.250
0.500 0.500 0.500
0.750 0.750 0.750
```

## Properties
M_tot ... 2.04 μB per formula unit
Space group ... F-43m (216)
Energy relative to the lowest polymorph listed for this composition ... 244 meV/atom



The following is a DFT calculation (PBE-GGA) of an optimized crystal structure of SnPd3.

```
SnPd3
1.0
2.779 1.604 5.231
-2.779 1.604 5.231
0.000 -3.208 5.231
Sn Pd
2 6
Direct
0.102 0.102 0.102
0.898 0.898 0.898
0.091 0.584 0.584
0.416 0.416 0.909
0.416 0.909 0.416
0.584 0.091 0.584
0.584 0.584 0.091
0.909 0.416 0.416
```

## Properties
Space group ... R-3m (166)



The following is a DFT calculation (PBE-GGA) of an optimized crystal structure of Cu10Bi.

```
Cu10Bi
1.0
4.018 -1.778 0.000
4.018 1.778 0.000
-0.111 0.000 30.057
Cu Bi
20 2
Direct
0.040 0.040 0.404
0.056 0.056 0.678
0.137 0.137 0.760
0.148 0.148 0.486
0.246 0.246 0.293
0.258 0.258 0.569
0.339 0.339 0.376
0.360 0.360 0.651
0.444 0.444 0.459
0.448 0.448 0.734
0.552 0.552 0.266
0.556 0.556 0.541
0.640 0.640 0.349
0.661 0.661 0.624
0.742 0.742 0.431
0.754 0.754 0.707
0.852 0.852 0.514
0.863 0.863 0.240
0.944 0.944 0.322
0.960 0.960 0.596
0.164 0.164 0.194
0.836 0.836 0.806
```

## Properties
Space group ... C2/m (12)



Let's list raw total energy in order: -3.017; -6.011; -5.164; -3.702 eV/atom.